(1)
{
  "formula": "HoSbSO2",
  "functional": "PBE",
  "state": "relaxed",
  "lattice_angstrom": [[6.338, 0.000, 0.000], [0.000, 3.887, 0.000], [-2.125, 0.000, 7.230]],
  "species": ["Ho", "Ho", "Sb", "Sb", "S", "S", "O", "O", "O", "O"],
  "frac_coords": [[0.201, 0.250, 0.417], [0.799, 0.750, 0.583], [0.191, 0.250, 0.922], [0.809, 0.750, 0.078], [0.441, 0.750, 0.281], [0.559, 0.250, 0.719], [0.016, 0.250, 0.637], [0.021, 0.750, 0.891], [0.979, 0.250, 0.109], [0.984, 0.750, 0.363]],
  "formation_energy_uncorrected_ev_per_atom": -2.03
}

***

(2)
{
  "formula": "Ho2ScS2O2",
  "functional": "PBE",
  "state": "relaxed",
  "lattice_angstrom": [[-2.006, 2.006, 7.161], [2.006, -2.006, 7.161], [2.006, 2.006, -7.161]],
  "species": ["Ho", "Ho", "Sc", "S", "S", "O", "O"],
  "frac_coords": [[0.130, 0.130, 0.000], [0.870, 0.870, 0.000], [0.500, 0.500, 0.000], [0.321, 0.321, 0.000], [0.679, 0.679, 0.000], [0.000, 0.500, 0.500], [0.500, 0.000, 0.500]],
  "formation_energy_uncorrected_ev_per_atom": -2.51
}

***

(3)
{
  "formula": "HoScS2O",
  "functional": "PBE",
  "state": "relaxed",
  "lattice_angstrom": [[3.759, 0.000, 0.000], [0.000, 3.759, 0.000], [0.000, 0.000, 13.276]],
  "species": ["Ho", "Ho", "Sc", "Sc", "S", "S", "S", "S", "O", "O"],
  "frac_coords": [[0.250, 0.250, 0.088], [0.750, 0.750, 0.912], [0.250, 0.250, 0.618], [0.750, 0.750, 0.382], [0.250, 0.250, 0.410], [0.250, 0.250, 0.795], [0.750, 0.750, 0.205], [0.750, 0.750, 0.590], [0.250, 0.750, 0.000], [0.750, 0.250, 0.000]],
  "formation_energy_uncorrected_ev_per_atom": -2.47
}

***

(4)
{
  "formula": "Ho8Se3S3O",
  "functional": "PBE",
  "state": "relaxed",
  "lattice_angstrom": [[3.880, 2.240, 6.467], [-3.880, 2.240, 6.467], [0.000, -4.480, 6.467]],
  "species": ["Ho", "Ho", "Ho", "Ho", "Ho", "Ho", "Ho", "Ho", "Se", "Se", "Se", "S", "S", "S", "O"],
  "frac_coords": [[0.241, 0.241, 0.241], [0.260, 0.727, 0.727], [0.273, 0.273, 0.740], [0.273, 0.740, 0.273], [0.727, 0.260, 0.727], [0.727, 0.727, 0.260], [0.740, 0.273, 0.273], [0.759, 0.759, 0.759], [0.000, 0.500, 0.500], [0.500, 0.000, 0.500], [0.500, 0.500, 0.000], [0.000, 0.000, 0.500], [0.000, 0.500, 0.000], [0.500, 0.000, 0.000], [0.500, 0.500, 0.500]],
  "formation_energy_uncorrected_ev_per_atom": -1.77
}

***

Repeat the fourth record exactly.
{
  "formula": "Ho8Se3S3O",
  "functional": "PBE",
  "state": "relaxed",
  "lattice_angstrom": [[3.880, 2.240, 6.467], [-3.880, 2.240, 6.467], [0.000, -4.480, 6.467]],
  "species": ["Ho", "Ho", "Ho", "Ho", "Ho", "Ho", "Ho", "Ho", "Se", "Se", "Se", "S", "S", "S", "O"],
  "frac_coords": [[0.241, 0.241, 0.241], [0.260, 0.727, 0.727], [0.273, 0.273, 0.740], [0.273, 0.740, 0.273], [0.727, 0.260, 0.727], [0.727, 0.727, 0.260], [0.740, 0.273, 0.273], [0.759, 0.759, 0.759], [0.000, 0.500, 0.500], [0.500, 0.000, 0.500], [0.500, 0.500, 0.000], [0.000, 0.000, 0.500], [0.000, 0.500, 0.000], [0.500, 0.000, 0.000], [0.500, 0.500, 0.500]],
  "formation_energy_uncorrected_ev_per_atom": -1.77
}

***

- What is the formula in the fourth record?
  Ho8Se3S3O